Entry from Alexandria: a relaxed structure of NpGePb2 (PBE).

Lattice parameters (Å, degrees): 4.5845 4.5845 4.8460 90.00 90.00 90.00
Last column: nearest neighbours and their distance in Å.
Positions (direct):
Np1 0.0000 0.0000 0.0000  4 Ge 3.24, 8 Pb 3.34
Ge1 0.5000 0.5000 0.0000  4 Np 3.24, 8 Pb 3.34
Pb1 0.0000 0.5000 0.5000  4 Pb 3.24, 4 Ge 3.34, 4 Np 3.34
Pb2 0.5000 0.0000 0.5000  4 Pb 3.24, 4 Ge 3.34, 4 Np 3.34

Summary:
Symmetry: P4/mmm
DFT formation energy: 85 meV/atom

=====

Entry from Alexandria: a relaxed structure of NpGePb2S5 (PBE).

Lattice parameters (Å, degrees): 9.0373 9.0373 13.8313 90.00 90.00 154.12
Last column: nearest neighbours and their distance in Å.
Positions (direct):
Np1 0.2254 0.7746 0.5000  6 S 2.66-2.72
Np2 0.7746 0.2254 0.0000  6 S 2.66-2.72
Ge1 0.4428 0.5572 0.9222  3 S 2.42-2.58
Ge2 0.5572 0.4428 0.4222  3 S 2.42-2.58
Pb1 0.0975 0.9025 0.1074  3 S 2.84-2.86
Pb2 0.1076 0.8924 0.7471  3 S 2.77-2.97
Pb3 0.8924 0.1076 0.2471  3 S 2.77-2.97
Pb4 0.9025 0.0975 0.6074  3 S 2.84-2.86
S1 0.0759 0.9241 0.5359  2 Ge 2.58, 1 Np 2.68
S2 0.2592 0.7408 0.1283  2 Np 2.71, 1 Pb 2.86
S3 0.3104 0.6896 0.8762  1 Ge 2.42
S4 0.3745 0.6255 0.4677  1 Np 2.66, 2 Pb 2.84
S5 0.4993 0.5007 0.2374  1 Ge 2.75, 2 Pb 2.77
S6 0.5007 0.4993 0.7374  1 Ge 2.75, 2 Pb 2.77
S7 0.6255 0.3745 0.9677  1 Np 2.66, 2 Pb 2.84
S8 0.6896 0.3104 0.3762  1 Ge 2.42
S9 0.7408 0.2592 0.6283  2 Np 2.71, 1 Pb 2.86
S10 0.9241 0.0759 0.0359  2 Ge 2.58, 1 Np 2.68

Summary:
Symmetry: Cmc2_1
E_form (uncorrected): -0.65 eV per atom